(1)
## Sr2ZnNiIr (meta-GGA SCAN)

Data for a PBEsol-optimized structure of Sr2ZnNiIr.

```
Sr2ZnNiIr
1.0
4.381 0.000 0.000
0.000 5.286 0.000
0.000 0.000 5.286
Sr Zn Ir Ni
2 1 1 1
Direct
0.000 0.000 0.500 Sr
0.000 0.500 0.000 Sr
0.500 0.000 0.000 Zn
0.500 0.500 0.500 Ir
0.000 0.000 0.000 Ni
```

- space-group type = P4/mmm
- theoretical density (g/cm3) = 6.67
- E_tot (eV/atom) = -28.641
- size of the total moment (μB per atom) = 0.097

---

(2)
## BeInW2 (meta-GGA SCAN)

Data for a PBEsol-optimized structure of BeInW2.

```
BeInW2
1.0
2.752 0.000 0.000
0.000 2.752 0.000
0.000 0.000 8.137
Be W In
1 2 1
Direct
0.000 0.000 0.480 Be
0.000 0.000 0.012 W
0.500 0.500 0.279 W
0.500 0.500 0.729 In
```

- space-group type = P4mm
- theoretical density (g/cm3) = 13.24
- E_tot (eV/atom) = -43.701
- size of the total moment (μB per atom) = 0.000

---

(3)
## TiAlB3 (meta-GGA SCAN)

Data for a PBEsol-optimized structure of TiAlB3.

```
TiAlB3
1.0
-2.383 2.528 2.015
-3.035 -2.611 -0.314
1.112 -1.709 3.460
B Al Ti
3 1 1
Direct
0.000 0.500 0.000 B
0.000 0.000 0.500 B
0.500 0.000 0.000 B
0.500 0.500 0.500 Al
0.000 0.000 0.000 Ti
```

- space-group type = Pm-3m
- theoretical density (g/cm3) = 2.75
- E_tot (eV/atom) = -7.745
- size of the total moment (μB per atom) = 0.000